(1)
Compound: InOsAu2
Source: Alexandria
Functional: GGA-PBE
Structure: optimized geometry

ΔE_f: 451 meV per atom
total DFT energy (no corrections): -4.679 eV per atom

Geometry as CIF:
```
data_InOsAu2
_chemical_formula_sum 'In2 Os2 Au4'
_symmetry_space_group_name_H-M 'I m m 2'
_symmetry_Int_Tables_number 44
_symmetry_space_group_name_Hall 'I 2 -2'
_cell_length_a 3.060
_cell_length_b 4.858
_cell_length_c 9.573
_cell_angle_alpha 90.00
_cell_angle_beta 90.00
_cell_angle_gamma 90.00
loop_
_atom_site_label
_atom_site_fract_x
_atom_site_fract_y
_atom_site_fract_z
In1 0.000 0.000 0.000
Os1 0.000 0.500 0.742
Au1 0.000 0.000 0.489
Au2 0.000 0.500 0.247
```

***

(2)
Compound: CdCo2P
Source: Alexandria
Functional: GGA-PBE
Structure: optimized geometry

ΔE_f: -139 meV per atom
polymorph energy (0 for the lowest one): 0.000 eV/atom
total DFT energy (no corrections): -5.273 eV per atom

Geometry as CIF:
```
data_CdCo2P
_chemical_formula_sum 'Cd1 Co2 P1'
_symmetry_space_group_name_H-M 'P 4/m m m'
_symmetry_Int_Tables_number 123
_symmetry_space_group_name_Hall '-P 4 2'
_cell_length_a 2.753
_cell_length_b 2.753
_cell_length_c 6.750
_cell_angle_alpha 90.00
_cell_angle_beta 90.00
_cell_angle_gamma 90.00
loop_
_atom_site_label
_atom_site_fract_x
_atom_site_fract_y
_atom_site_fract_z
Cd1 0.000 0.000 0.000
Co1 0.500 0.500 0.316
P1 0.000 0.000 0.500
```

***

(3)
Compound: La5InHg2
Source: Alexandria
Functional: GGA-PBE
Structure: optimized geometry

ΔE_f: -331 meV per atom
total DFT energy (no corrections): -3.828 eV per atom

Geometry as CIF:
```
data_La5InHg2
_chemical_formula_sum 'La10 In2 Hg4'
_symmetry_space_group_name_H-M 'I 4 m m'
_symmetry_Int_Tables_number 107
_symmetry_space_group_name_Hall 'I 4 -2'
_cell_length_a 8.105
_cell_length_b 8.105
_cell_length_c 7.568
_cell_angle_alpha 90.00
_cell_angle_beta 90.00
_cell_angle_gamma 90.00
loop_
_atom_site_label
_atom_site_fract_x
_atom_site_fract_y
_atom_site_fract_z
La1 0.000 0.000 0.000
La2 0.250 0.250 0.249
In1 0.000 0.000 0.499
Hg1 0.000 0.500 0.499
```

***

Question: Look up the total DFT energy (no corrections) of the second one.
Answer: -5.273 eV per atom